1.
This record from Alexandria via LeMat-Bulk describes a geometry-optimized Tl2CoRe structure. The functional is GGA-PBE.

Cell: 4.764 4.764 5.483 Å, 78.46 78.46 36.55°
Each line ends with the local moment (μB).
Positions (direct):
Co: 0.750 0.750 0.750  1.09
Re: 0.250 0.250 0.250  0.02
Tl: 0.007 0.007 0.991  -0.01
Tl: 0.493 0.493 0.509  -0.01

Summary:
formation enthalpy at 0 K = 1.024 eV per atom
M_tot = 1.04 Bohr magnetons per cell
total energy = -5.048 eV per atom

2.
This record from Alexandria via LeMat-Bulk describes a geometry-optimized Tl2CoRe structure. The functional is GGA-PBE.

Cell: 4.502 2.972 5.494 Å, 87.56 90.00 90.00°
Each line ends with the local moment (μB).
Positions (direct):
Co: 0.500 0.250 0.250  1.05
Re: 0.500 0.750 0.750  -0.01
Tl: 0.000 0.042 0.007  -0.01
Tl: 0.000 0.458 0.493  -0.01

Summary:
formation enthalpy at 0 K = 1.069 eV per atom
M_tot = 0.95 Bohr magnetons per cell
total energy = -5.003 eV per atom

3.
This record from Alexandria via LeMat-Bulk describes a geometry-optimized TlCo3Re structure. The functional is GGA-PBE.

Cell: 4.520 4.520 4.520 Å, 90.00 90.00 90.00°
Each line ends with the local moment (μB).
Positions (direct):
Re: 0.000 0.000 0.000  0.03
Tl: 0.500 0.500 0.500  0.02
Co: 0.000 0.500 0.000  0.74
Co: 0.000 0.000 0.500  0.85
Co: 0.500 0.000 0.000  0.67

Summary:
formation enthalpy at 0 K = 1.346 eV per atom
M_tot = 2.33 Bohr magnetons per cell
total energy = -5.881 eV per atom

4.
This record from Alexandria via LeMat-Bulk describes a geometry-optimized TlCoRe2 structure. The functional is GGA-PBE.

Cell: 2.878 3.830 5.845 Å, 90.00 90.00 90.00°
Each line ends with the local moment (μB).
Positions (direct):
Co: 0.500 0.500 0.775  1.22
Re: 0.000 0.000 0.008  0.09
Re: 0.500 0.500 0.199  0.15
Tl: 0.000 0.000 0.519  -0.01

Summary:
formation enthalpy at 0 K = 0.592 eV per atom
M_tot = 1.46 Bohr magnetons per cell
total energy = -8.000 eV per atom

5.
This record from Alexandria via LeMat-Bulk describes a geometry-optimized TlCoRe2 structure. The functional is GGA-PBE.

Cell: 9.071 9.071 9.071 Å, 18.24 18.24 18.24°
Each line ends with the local moment (μB).
Positions (direct):
Co: 0.744 0.744 0.744  1.24
Re: 0.002 0.002 0.002  0.07
Re: 0.258 0.258 0.258  -0.03
Tl: 0.495 0.495 0.495  -0.02

Summary:
formation enthalpy at 0 K = 0.564 eV per atom
M_tot = 1.22 Bohr magnetons per cell
total energy = -8.028 eV per atom

6.
This record from Alexandria via LeMat-Bulk describes a geometry-optimized TlCoRe2 structure. The functional is GGA-PBE.

Cell: 4.985 4.985 2.860 Å, 90.00 90.00 117.01°
Each line ends with the local moment (μB).
Positions (direct):
Co: 0.000 0.500 0.500  1.01
Re: 0.000 0.000 0.000  0.08
Re: 0.500 0.500 0.000  0.08
Tl: 0.500 0.000 0.500  -0.01

Summary:
formation enthalpy at 0 K = 0.959 eV per atom
M_tot = 1.15 Bohr magnetons per cell
total energy = -7.633 eV per atom

7.
This record from Alexandria via LeMat-Bulk describes a geometry-optimized Tl2CoRe structure. The functional is GGA-PBE.

Cell: 4.739 4.739 4.739 Å, 60.00 60.00 60.00°
Each line ends with the local moment (μB).
Positions (direct):
Co: 0.500 0.500 0.500  1.42
Re: 0.750 0.750 0.750  1.32
Tl: 0.000 0.000 0.000  0.01
Tl: 0.250 0.250 0.250  -0.02

Summary:
formation enthalpy at 0 K = 1.254 eV per atom
M_tot = 2.84 Bohr magnetons per cell
total energy = -4.818 eV per atom

8.
This record from Alexandria via LeMat-Bulk describes a geometry-optimized TlCoRe2 structure. The functional is GGA-PBE.

Cell: 4.440 4.440 4.440 Å, 60.00 60.00 60.00°
Positions (direct):
Re: 0.250 0.250 0.250
Re: 0.750 0.750 0.750
Tl: 0.500 0.500 0.500
Co: 0.000 0.000 0.000

Summary:
formation enthalpy at 0 K = 1.083 eV per atom
M_tot = 0.03 Bohr magnetons per cell
total energy = -7.509 eV per atom